Entry 1:
A relaxed MgZrScRu crystal. Source: Alexandria via LeMat-Bulk, functional PBE.

Properties
energy of formation from the pure elements = -0.266 eV/atom
calculated total energy = -6.704 eV per atom
distance to the lowest polymorph of the same formula = 54 meV/atom
DOS(E_F) = 2.9 states/eV/f.u.

a = 6.724 Å, b = 6.724 Å, c = 6.724 Å
α = 90.00°, β = 90.00°, γ = 90.00°
Space group F-43m (No. 216)
Inequivalent atoms, fractional coordinates:
Mg  0.000  0.000  0.000
Zr  0.250  0.250  0.750
Sc  0.250  0.250  0.250
Ru  0.000  0.000  0.500

=====

Entry 2:
A relaxed MgZrScRu crystal. Source: Alexandria via LeMat-Bulk, functional PBE.

Properties
energy of formation from the pure elements = -0.320 eV/atom
calculated total energy = -6.758 eV per atom
distance to the lowest polymorph of the same formula = 0 meV/atom
DOS(E_F) = 4.3 states/eV/f.u.

a = 3.283 Å, b = 3.283 Å, c = 7.436 Å
α = 90.00°, β = 90.00°, γ = 90.00°
Space group P4mm (No. 99)
Inequivalent atoms, fractional coordinates:
Mg  0.000  0.000  0.000
Zr  0.500  0.500  0.713
Sc  0.500  0.500  0.288
Ru  0.000  0.000  0.502

=====

Entry 3:
A relaxed Mg4RuSe crystal. Source: Alexandria via LeMat-Bulk, functional PBE.

Properties
calculated total energy = -2.888 eV per atom
DOS(E_F) = 1.6 states/eV/f.u.
ΔE_f (raw) = 1.81 eV/f.u.

a = 7.730 Å, b = 7.730 Å, c = 7.730 Å
α = 90.00°, β = 90.00°, γ = 90.00°
Space group F-43m (No. 216)
Inequivalent atoms, fractional coordinates:
Mg  0.124  0.124  0.124
Ru  0.250  0.250  0.750
Se  0.000  0.000  0.500

=====

Entry 4:
A relaxed MgRuSe2 crystal. Source: Alexandria via LeMat-Bulk, functional PBE.

Properties
calculated total energy = -4.613 eV per atom
DOS(E_F) = 3.2 states/eV/f.u.
ΔE_f (raw) = -0.61 eV/f.u.

a = 4.614 Å, b = 4.614 Å, c = 3.182 Å
α = 90.00°, β = 90.00°, γ = 90.00°
Space group P4/mmm (No. 123)
Inequivalent atoms, fractional coordinates:
Mg  0.000  0.000  0.000
Ru  0.500  0.500  0.000
Se  0.000  0.500  0.500

=====

Entry 5:
A relaxed MgRuSe2 crystal. Source: Alexandria via LeMat-Bulk, functional PBE.

Properties
calculated total energy = -4.752 eV per atom
DOS(E_F) = 2.9 states/eV/f.u.
ΔE_f (raw) = -1.17 eV/f.u.

a = 5.643 Å, b = 5.643 Å, c = 12.122 Å
α = 90.00°, β = 90.00°, γ = 90.00°
Space group I-42d (No. 122)
Inequivalent atoms, fractional coordinates:
Mg  0.000  0.000  0.000
Ru  0.000  0.000  0.500
Se  0.220  0.250  0.625

=====

Entry 6:
A relaxed MgRuSe2 crystal. Source: Alexandria via LeMat-Bulk, functional PBE.

Properties
calculated total energy = -4.752 eV per atom
DOS(E_F) = 0.8 states/eV/f.u.
ΔE_f (raw) = -1.17 eV/f.u.

a = 10.210 Å, b = 3.564 Å, c = 3.992 Å
α = 90.00°, β = 91.15°, γ = 90.00°
Space group Cm (No. 8)
Inequivalent atoms, fractional coordinates:
Mg  0.000  0.000  0.000
Ru  0.301  0.500  0.482
Se  0.054  0.500  0.506
Se  0.261  0.000  0.054

=====

Entry 7:
A relaxed Mg3RuSe crystal. Source: Alexandria via LeMat-Bulk, functional PBE.

Properties
calculated total energy = -3.180 eV per atom
distance to the lowest polymorph of the same formula = 0 meV/atom
DOS(E_F) = 0.5 states/eV/f.u.
ΔE_f (raw) = 1.64 eV/f.u.

a = 4.904 Å, b = 4.904 Å, c = 4.904 Å
α = 90.00°, β = 90.00°, γ = 90.00°
Space group Pm-3m (No. 221)
Inequivalent atoms, fractional coordinates:
Mg  0.000  0.000  0.500
Ru  0.000  0.000  0.000
Se  0.500  0.500  0.500

=====

Entry 8:
A relaxed MgRuSe2 crystal. Source: Alexandria via LeMat-Bulk, functional PBE.

Properties
calculated total energy = -4.792 eV per atom
DOS(E_F) = 3.8 states/eV/f.u.
ΔE_f (raw) = -1.33 eV/f.u.

a = 3.687 Å, b = 3.687 Å, c = 5.398 Å
α = 90.00°, β = 90.00°, γ = 90.00°
Space group P4mm (No. 99)
Inequivalent atoms, fractional coordinates:
Mg  0.000  0.000  0.000
Ru  0.500  0.500  0.412
Se  0.000  0.000  0.492
Se  0.500  0.500  0.923

=====

Entry 9:
A relaxed MgRuSe4 crystal. Source: Alexandria via LeMat-Bulk, functional PBE.

Properties
calculated total energy = -3.352 eV per atom
DOS(E_F) = 5.0 states/eV/f.u.
ΔE_f (raw) = 4.70 eV/f.u.

a = 7.993 Å, b = 7.993 Å, c = 7.993 Å
α = 90.00°, β = 90.00°, γ = 90.00°
Space group F-43m (No. 216)
Inequivalent atoms, fractional coordinates:
Mg  0.000  0.000  0.000
Ru  0.250  0.250  0.750
Se  0.125  0.125  0.375

=====

Entry 10:
A relaxed MgRu4Se crystal. Source: Alexandria via LeMat-Bulk, functional PBE.

Properties
calculated total energy = -6.521 eV per atom
DOS(E_F) = 9.3 states/eV/f.u.
ΔE_f (raw) = 3.05 eV/f.u.

a = 7.317 Å, b = 7.317 Å, c = 7.317 Å
α = 90.00°, β = 90.00°, γ = 90.00°
Space group F-43m (No. 216)
Inequivalent atoms, fractional coordinates:
Mg  0.000  0.000  0.000
Ru  0.124  0.124  0.376
Se  0.250  0.250  0.750

=====

Entry 11:
A relaxed Mg3RuSe crystal. Source: Alexandria via LeMat-Bulk, functional PBE.

Properties
calculated total energy = -2.988 eV per atom
distance to the lowest polymorph of the same formula = 192 meV/atom
DOS(E_F) = 3.2 states/eV/f.u.
ΔE_f (raw) = 2.60 eV/f.u.

a = 4.868 Å, b = 4.868 Å, c = 4.868 Å
α = 90.00°, β = 90.00°, γ = 90.00°
Space group Pm-3m (No. 221)
Inequivalent atoms, fractional coordinates:
Mg  0.000  0.000  0.500
Ru  0.500  0.500  0.500
Se  0.000  0.000  0.000

=====

Entry 12:
A relaxed MgRuSe2 crystal. Source: Alexandria via LeMat-Bulk, functional PBE.

Properties
calculated total energy = -4.713 eV per atom
DOS(E_F) = 3.3 states/eV/f.u.
ΔE_f (raw) = -1.01 eV/f.u.

a = 3.456 Å, b = 3.458 Å, c = 12.443 Å
α = 90.00°, β = 90.00°, γ = 90.00°
Space group Imm2 (No. 44)
Inequivalent atoms, fractional coordinates:
Mg  0.000  0.000  0.000
Ru  0.000  0.500  0.745
Se  0.000  0.000  0.587
Se  0.000  0.500  0.324

=====

Repeat the tenth record exactly.
A relaxed MgRu4Se crystal. Source: Alexandria via LeMat-Bulk, functional PBE.

Properties
calculated total energy = -6.521 eV per atom
DOS(E_F) = 9.3 states/eV/f.u.
ΔE_f (raw) = 3.05 eV/f.u.

a = 7.317 Å, b = 7.317 Å, c = 7.317 Å
α = 90.00°, β = 90.00°, γ = 90.00°
Space group F-43m (No. 216)
Inequivalent atoms, fractional coordinates:
Mg  0.000  0.000  0.000
Ru  0.124  0.124  0.376
Se  0.250  0.250  0.750